An optimized crystal structure of Pr2HfBr. Source: Alexandria, functional GGA-PBE.

Unit cell a=11.430 b=11.430 c=11.430 alpha=17.38 beta=17.38 gamma=17.38
Element x y z (fractional)
Pr: 0.093 0.093 0.093
Pr: 0.907 0.907 0.907
Hf: 0.000 0.000 0.000
Br: 0.500 0.500 0.500

Properties
- DOS at the Fermi energy (states/eV per atom) = 1.26
- formation energy without anion corrections (eV per atom) = -0.10
- uncorrected energy (eV per atom) = -5.398

An optimized crystal structure of Sr2Ca3AcTe6. Source: Alexandria, functional GGA-PBE.

Unit cell a=10.351 b=10.351 c=9.276 alpha=102.83 beta=102.83 gamma=25.82
Element x y z (fractional)
Sr: 0.168 0.168 0.336
Sr: 0.832 0.832 0.664
Ca: 0.167 0.167 0.832
Ca: 0.500 0.500 0.500
Ca: 0.833 0.833 0.168
Ac: 0.500 0.500 0.000
Te: 0.003 0.003 0.741
Te: 0.330 0.330 0.924
Te: 0.337 0.337 0.409
Te: 0.663 0.663 0.591
Te: 0.670 0.670 0.076
Te: 0.997 0.997 0.259

Properties
- DOS at the Fermi energy (states/eV per atom) = 0.23
- formation energy without anion corrections (eV per atom) = -1.64
- uncorrected energy (eV per atom) = -4.332

An optimized crystal structure of PmNdScTl. Source: Alexandria, functional GGA-PBE.

Unit cell a=5.438 b=5.438 c=5.438 alpha=60.00 beta=60.00 gamma=60.00
Element x y z (fractional)
Pm: 0.000 0.000 0.000
Nd: 0.750 0.750 0.750
Sc: 0.250 0.250 0.250
Tl: 0.500 0.500 0.500

Properties
- E above lowest polymorph (meV per atom) = 128
- DOS at the Fermi energy (states/eV per atom) = 1.45
- uncorrected energy (eV per atom) = -4.565
- ΔH_f (0 K) (eV per atom) = -0.01

An optimized crystal structure of LiIn12Hg7. Source: Alexandria, functional GGA-PBE.

Unit cell a=8.247 b=8.247 c=8.247 alpha=99.22 beta=99.22 gamma=99.22
Element x y z (fractional)
Li: 0.000 0.000 0.000
In: 0.113 0.742 0.241
In: 0.160 0.461 0.597
In: 0.241 0.113 0.742
In: 0.258 0.759 0.887
In: 0.403 0.840 0.539
In: 0.461 0.597 0.160
In: 0.539 0.403 0.840
In: 0.597 0.160 0.461
In: 0.742 0.241 0.113
In: 0.759 0.887 0.258
In: 0.840 0.539 0.403
In: 0.887 0.258 0.759
Hg: 0.107 0.124 0.368
Hg: 0.124 0.368 0.107
Hg: 0.368 0.107 0.124
Hg: 0.500 0.500 0.500
Hg: 0.632 0.893 0.876
Hg: 0.876 0.632 0.893
Hg: 0.893 0.876 0.632

Properties
- DOS at the Fermi energy (states/eV per atom) = 0.41
- uncorrected energy (eV per atom) = -1.844
- ΔH_f (0 K) (eV per atom) = 0.00

An optimized crystal structure of PrEr2Co9. Source: Alexandria, functional GGA-PBE.

Unit cell a=8.574 b=8.574 c=8.574 alpha=34.05 beta=34.05 gamma=34.05
Element x y z (fractional)
Pr: 0.000 0.000 0.000
Er: 0.141 0.141 0.141
Er: 0.859 0.859 0.859
Co: 0.078 0.585 0.585
Co: 0.335 0.335 0.335
Co: 0.415 0.415 0.922
Co: 0.415 0.922 0.415
Co: 0.500 0.500 0.500
Co: 0.585 0.078 0.585
Co: 0.585 0.585 0.078
Co: 0.665 0.665 0.665
Co: 0.922 0.415 0.415

Properties
- DOS at the Fermi energy (states/eV per atom) = 1.42
- uncorrected energy (eV per atom) = -6.637
- ΔH_f (0 K) (eV per atom) = -0.15

An optimized crystal structure of KCrSi2. Source: Alexandria, functional GGA-PBE.

Unit cell a=4.990 b=4.990 c=4.990 alpha=127.70 beta=127.70 gamma=77.11
Element x y z (fractional)
K: 0.000 0.000 0.000
Cr: 0.500 0.500 0.000
Si: 0.250 0.750 0.500
Si: 0.750 0.250 0.500

Properties
- E above lowest polymorph (meV per atom) = 611
- DOS at the Fermi energy (states/eV per atom) = 0.41
- formation energy without anion corrections (eV per atom) = 0.77
- uncorrected energy (eV per atom) = -4.626

An optimized crystal structure of PmErTm3Th. Source: Alexandria, functional GGA-PBE.

Unit cell a=10.559 b=3.544 c=10.593 alpha=90.00 beta=109.08 gamma=90.00
Element x y z (fractional)
Pm: 0.208 0.250 0.374
Pm: 0.792 0.750 0.626
Er: 0.126 0.750 0.629
Er: 0.874 0.250 0.371
Tm: 0.043 0.250 0.876
Tm: 0.293 0.750 0.120
Tm: 0.459 0.750 0.629
Tm: 0.541 0.250 0.371
Tm: 0.707 0.250 0.880
Tm: 0.957 0.750 0.124
Th: 0.376 0.250 0.874
Th: 0.624 0.750 0.126

Properties
- DOS at the Fermi energy (states/eV per atom) = 1.35
- uncorrected energy (eV per atom) = -5.002
- ΔH_f (0 K) (eV per atom) = 0.02

An optimized crystal structure of Al4Os. Source: Alexandria, functional GGA-PBE.

Unit cell a=4.800 b=4.800 c=4.800 alpha=98.93 beta=98.93 gamma=133.58
Element x y z (fractional)
Al: 0.106 0.703 0.809
Al: 0.297 0.106 0.404
Al: 0.703 0.894 0.596
Al: 0.894 0.297 0.191
Os: 0.500 0.500 0.000

Properties
- E above lowest polymorph (meV per atom) = 0
- DOS at the Fermi energy (states/eV per atom) = 0.42
- uncorrected energy (eV per atom) = -5.504
- ΔH_f (0 K) (eV per atom) = -0.26